Crystalline Nd12Zn2Ga5 at its relaxed geometry, computed with PBE.

## Properties
* VASP energy: -78.82 eV for the cell shown
* calculated volume: 556.0 Å³/cell
* crystal system: monoclinic
* energy relative to the elements: -0.2066 eV/atom
* DOS at the Fermi energy: 18.39 states/eV/cell

a b c (Å): 7.6701 8.7873 9.1737
angles (deg): 88.20 90.00 115.88
Positions (direct):
Nd 0.4689 0.9377 0.6993
Nd 0.1145 0.7107 0.4470
Ga 0.6450 0.2900 0.8594
Nd 0.9491 0.8982 0.1793
Nd 0.4005 0.3533 0.1272
Nd 0.5311 0.0623 0.3007
Nd 0.9528 0.3533 0.1272
Zn 0.6736 0.0000 0.0000
Nd 0.5962 0.7107 0.4470
Nd 0.8855 0.2893 0.5530
Nd 0.4038 0.2893 0.5530
Nd 0.5995 0.6467 0.8728
Ga 0.2617 0.5234 0.6822
Ga 0.7383 0.4766 0.3178
Nd 0.0509 0.1018 0.8207
Ga 0.0000 0.0000 0.5000
Nd 0.0472 0.6467 0.8728
Ga 0.3550 0.7100 0.1406
Zn 0.3264 0.0000 0.0000

Crystalline Nd6Zn2Ga at its relaxed geometry, computed with PBE.

## Properties
* VASP energy: -72.28 eV for the cell shown
* calculated volume: 522.3 Å³/cell
* crystal system: orthorhombic
* energy relative to the elements: -0.2178 eV/atom
* DOS at the Fermi energy: 22.77 states/eV/cell

a b c (Å): 8.7876 8.7876 8.7876
angles (deg): 110.18 109.34 108.89
Positions (direct):
Nd 0.5601 0.7377 0.8224
Zn 0.5000 0.6265 0.1265
Nd 0.4399 0.2623 0.1776
Nd 0.7230 0.0466 0.3235
Nd 0.2770 0.9534 0.6765
Nd 0.8013 0.2501 0.0514
Nd 0.9153 0.7377 0.1776
Zn 0.5000 0.3735 0.8735
Nd 0.7230 0.3995 0.6765
Zn 0.6325 0.0000 0.6325
Nd 0.1987 0.7499 0.9486
Ga 0.0000 0.5000 0.5000
Ga 0.0000 0.0000 0.0000
Nd 0.2770 0.6005 0.3235
Nd 0.8013 0.7499 0.5511
Zn 0.3675 0.0000 0.3675
Nd 0.1987 0.2501 0.4489
Nd 0.0847 0.2623 0.8224

Crystalline Nd7Zn2Ga2 at its relaxed geometry, computed with PBE.

## Properties
* VASP energy: -42.87 eV for the cell shown
* calculated volume: 328.7 Å³/cell
* crystal system: orthorhombic
* energy relative to the elements: -0.0810 eV/atom
* DOS at the Fermi energy: 15.62 states/eV/cell

a b c (Å): 6.7506 7.6872 6.7506
angles (deg): 90.01 110.24 89.99
Positions (direct):
Nd 0.4999 0.7131 0.0000
Nd 0.5000 0.2598 0.5000
Nd 0.0000 0.0000 0.0000
Zn 0.7112 0.0000 0.2888
Zn 0.2888 0.0000 0.7112
Ga 0.8346 0.5000 0.8346
Nd 0.5001 0.2869 0.0000
Nd 0.0000 0.2869 0.4999
Ga 0.1654 0.5000 0.1654
Nd 0.0000 0.7131 0.5001
Nd 0.5000 0.7402 0.5000

Crystalline Nd2Zn3Ga5 at its relaxed geometry, computed with PBE.

## Properties
* VASP energy: -66.57 eV for the cell shown
* calculated volume: 387.1 Å³/cell
* crystal system: orthorhombic
* energy relative to the elements: -0.4793 eV/atom
* DOS at the Fermi energy: 4.93 states/eV/cell

a b c (Å): 5.9967 8.6011 8.6011
angles (deg): 77.07 69.60 69.60
Positions (direct):
Zn 0.7500 0.0000 0.0000
Nd 0.3744 0.8733 0.3780
Zn 0.8733 0.7590 0.4944
Ga 0.8798 0.9798 0.2607
Ga 0.1202 0.0202 0.7393
Ga 0.2500 0.5000 0.5000
Nd 0.6256 0.1267 0.6220
Nd 0.8744 0.3780 0.8733
Zn 0.2500 0.0000 0.0000
Ga 0.5042 0.2458 0.2458
Zn 0.1267 0.2410 0.5056
Ga 0.3798 0.2607 0.9798
Ga 0.9958 0.7542 0.7542
Ga 0.7500 0.5000 0.5000
Zn 0.6267 0.5056 0.2410
Ga 0.0042 0.2458 0.2458
Ga 0.4958 0.7542 0.7542
Ga 0.6202 0.7393 0.0202
Nd 0.1256 0.6220 0.1267
Zn 0.3733 0.4944 0.7590

Crystalline NdZn4Ga4 at its relaxed geometry, computed with PBE.

## Properties
* VASP energy: -45.52 eV for the cell shown
* calculated volume: 370.6 Å³/cell
* crystal system: tetragonal
* energy relative to the elements: -0.0874 eV/atom
* DOS at the Fermi energy: 5.16 states/eV/cell

a b c (Å): 5.4887 8.2175 8.2175
angles (deg): 90.00 90.00 90.00
Positions (direct):
Zn 0.8681 0.6489 0.1656
Ga 0.6324 0.1514 0.3481
Zn 0.6319 0.1489 0.6656
Ga 0.3676 0.3481 0.8486
Zn 0.8681 0.3511 0.8344
Ga 0.8676 0.6514 0.8481
Ga 0.3676 0.6519 0.1514
Zn 0.1319 0.1656 0.3511
Zn 0.3681 0.6656 0.8511
Nd 0.5000 0.5000 0.5000
Nd 0.0000 0.0000 0.0000
Ga 0.8676 0.3486 0.1519
Ga 0.1324 0.8481 0.3486
Zn 0.3681 0.3344 0.1489
Ga 0.1324 0.1519 0.6514
Zn 0.1319 0.8344 0.6489
Zn 0.6319 0.8511 0.3344
Ga 0.6324 0.8486 0.6519

Crystalline Nd2ZnGa at its relaxed geometry, computed with PBE.

## Properties
* VASP energy: -15.56 eV for the cell shown
* calculated volume: 100.8 Å³/cell
* distance to the lowest polymorph of the same formula: 12 meV/atom
* crystal system: tetragonal
* energy relative to the elements: -0.4305 eV/atom
* DOS at the Fermi energy: 4.85 states/eV/cell

a b c (Å): 3.6876 5.2276 5.2276
angles (deg): 90.00 90.00 90.00
Positions (direct):
Ga 0.5000 0.0000 0.0000
Zn 0.5000 0.5000 0.5000
Nd 0.0000 0.5000 0.0000
Nd 0.0000 0.0000 0.5000

Crystalline Nd6Zn3Ga at its relaxed geometry, computed with PBE.

## Properties
* VASP energy: -76.17 eV for the cell shown
* calculated volume: 539.5 Å³/cell
* crystal system: monoclinic
* energy relative to the elements: -0.2627 eV/atom
* DOS at the Fermi energy: 17.94 states/eV/cell

a b c (Å): 5.1738 9.3538 11.6256
angles (deg): 106.48 90.00 90.00
Positions (direct):
Nd 0.7500 0.5178 0.8991
Nd 0.2500 0.2636 0.5056
Nd 0.7500 0.7364 0.4944
Zn 0.7500 0.2292 0.0314
Ga 0.7500 0.0516 0.3890
Nd 0.2500 0.8554 0.3333
Ga 0.2500 0.9484 0.6110
Nd 0.2500 0.1174 0.8767
Nd 0.7500 0.3472 0.3217
Nd 0.2500 0.4822 0.1009
Zn 0.2500 0.5325 0.3787
Zn 0.2500 0.7708 0.9686
Nd 0.7500 0.8826 0.1233
Nd 0.2500 0.6528 0.6783
Nd 0.7500 0.8765 0.8470
Nd 0.7500 0.1446 0.6667
Zn 0.2500 0.3815 0.7781
Nd 0.2500 0.1235 0.1530
Zn 0.7500 0.4675 0.6213
Zn 0.7500 0.6185 0.2219

Crystalline Nd2Zn16Ga at its relaxed geometry, computed with PBE.

## Properties
* VASP energy: -37.77 eV for the cell shown
* calculated volume: 315.1 Å³/cell
* crystal system: trigonal
* energy relative to the elements: -0.2539 eV/atom
* DOS at the Fermi energy: 5.15 states/eV/cell

a b c (Å): 6.8508 6.8508 6.8508
angles (deg): 83.12 83.12 83.12
Positions (direct):
Nd 0.3342 0.3342 0.3342
Zn 0.3496 0.3496 0.8368
Zn 0.0003 0.7025 0.2982
Zn 0.7025 0.2982 0.0003
Nd 0.6662 0.6662 0.6662
Zn 0.0968 0.0968 0.0968
Zn 0.0030 0.0030 0.4949
Ga 0.9004 0.9004 0.9004
Zn 0.3496 0.8368 0.3496
Zn 0.7025 0.0003 0.2982
Zn 0.0030 0.4949 0.0030
Zn 0.6488 0.6488 0.1660
Zn 0.0003 0.2982 0.7025
Zn 0.2982 0.0003 0.7025
Zn 0.8368 0.3496 0.3496
Zn 0.6488 0.1660 0.6488
Zn 0.1660 0.6488 0.6488
Zn 0.4949 0.0030 0.0030
Zn 0.2982 0.7025 0.0003

Crystalline Nd2Zn2Ga at its relaxed geometry, computed with PBE.

## Properties
* VASP energy: -34.45 eV for the cell shown
* calculated volume: 234.9 Å³/cell
* crystal system: monoclinic
* energy relative to the elements: -0.4226 eV/atom
* DOS at the Fermi energy: 7.45 states/eV/cell

a b c (Å): 4.5396 5.8238 9.9129
angles (deg): 85.86 76.76 67.06
Positions (direct):
Ga 0.6145 0.1131 0.6578
Nd 0.6858 0.2902 0.3383
Nd 0.9090 0.2883 0.8936
Ga 0.3855 0.8869 0.3422
Nd 0.0910 0.7117 0.1064
Zn 0.9177 0.7223 0.4422
Zn 0.0823 0.2777 0.5578
Zn 0.6248 0.8648 0.8856
Zn 0.3752 0.1352 0.1144
Nd 0.3142 0.7098 0.6617

Crystalline Nd3Zn2Ga at its relaxed geometry, computed with PBE.

## Properties
* VASP energy: -22.18 eV for the cell shown
* calculated volume: 150.8 Å³/cell
* distance to the lowest polymorph of the same formula: 5 meV/atom
* crystal system: tetragonal
* energy relative to the elements: -0.3837 eV/atom
* DOS at the Fermi energy: 7.40 states/eV/cell

a b c (Å): 3.6697 3.6697 11.2010
angles (deg): 90.00 90.00 90.00
Positions (direct):
Ga 0.5000 0.5000 0.5000
Nd 0.0000 0.0000 0.3328
Nd 0.0000 0.0000 0.0000
Zn 0.5000 0.5000 0.1629
Nd 0.0000 0.0000 0.6672
Zn 0.5000 0.5000 0.8371

Crystalline Nd2Zn15Ga2 at its relaxed geometry, computed with PBE.

## Properties
* VASP energy: -39.45 eV for the cell shown
* calculated volume: 317.3 Å³/cell
* crystal system: trigonal
* energy relative to the elements: -0.2500 eV/atom
* DOS at the Fermi energy: 6.99 states/eV/cell

a b c (Å): 6.8592 6.8592 6.8592
angles (deg): 83.72 83.72 83.72
Positions (direct):
Zn 0.6966 0.0000 0.3034
Nd 0.3340 0.3340 0.3340
Zn 0.6498 0.6498 0.1665
Zn 0.3034 0.6966 0.0000
Zn 0.0000 0.3034 0.6966
Zn 0.3034 0.0000 0.6966
Ga 0.9016 0.9016 0.9016
Zn 0.5000 0.0000 0.0000
Zn 0.3502 0.8335 0.3502
Zn 0.8335 0.3502 0.3502
Zn 0.0000 0.0000 0.5000
Zn 0.3502 0.3502 0.8335
Ga 0.0984 0.0984 0.0984
Zn 0.0000 0.6966 0.3034
Zn 0.0000 0.5000 0.0000
Zn 0.1665 0.6498 0.6498
Nd 0.6660 0.6660 0.6660
Zn 0.6498 0.1665 0.6498
Zn 0.6966 0.3034 0.0000

Crystalline Nd3Zn4Ga4 at its relaxed geometry, computed with PBE.

## Properties
* VASP energy: -37.11 eV for the cell shown
* calculated volume: 232.2 Å³/cell
* crystal system: triclinic
* energy relative to the elements: -0.5092 eV/atom
* DOS at the Fermi energy: 7.48 states/eV/cell

a b c (Å): 4.1584 4.3697 13.1285
angles (deg): 80.44 80.91 90.06
Positions (direct):
Nd 0.1512 0.6500 0.6995
Zn 0.5951 0.0959 0.8084
Zn 0.7494 0.7491 0.5026
Ga 0.6922 0.1930 0.6146
Nd 0.8488 0.3500 0.3005
Zn 0.2506 0.2510 0.4974
Zn 0.4049 0.9042 0.1916
Ga 0.3078 0.8071 0.3854
Ga 0.4514 0.4503 0.0994
Ga 0.5486 0.5497 0.9006
Nd 0.0000 0.0000 0.0000

Crystalline NdZn11Ga at its relaxed geometry, computed with PBE.

## Properties
* VASP energy: -24.12 eV for the cell shown
* calculated volume: 211.2 Å³/cell
* crystal system: monoclinic
* energy relative to the elements: -0.1778 eV/atom
* DOS at the Fermi energy: 2.40 states/eV/cell

a b c (Å): 5.2799 6.8415 6.8644
angles (deg): 81.48 67.38 67.35
Positions (direct):
Zn 0.5000 0.0000 0.5000
Zn 0.0000 0.0000 0.5000
Zn 0.3475 0.6454 0.6410
Zn 0.0115 0.3546 0.6410
Zn 0.2760 0.2178 0.2211
Zn 0.0000 0.5000 0.0000
Zn 0.9885 0.6454 0.3590
Zn 0.6525 0.3546 0.3590
Zn 0.4971 0.2178 0.7789
Nd 0.0000 0.0000 0.0000
Zn 0.7240 0.7822 0.7789
Zn 0.5029 0.7822 0.2211
Ga 0.5000 0.5000 0.0000

Crystalline NdZnGa2 at its relaxed geometry, computed with PBE.

## Properties
* VASP energy: -13.28 eV for the cell shown
* calculated volume: 88.8 Å³/cell
* crystal system: orthorhombic
* energy relative to the elements: -0.2966 eV/atom
* DOS at the Fermi energy: 2.49 states/eV/cell

a b c (Å): 3.5495 5.3055 5.3055
angles (deg): 117.26 90.00 90.00
Positions (direct):
Ga 0.5000 0.0536 0.4461
Nd 0.0000 0.0538 0.9462
Zn 0.5000 0.5537 0.4463
Ga 0.5000 0.5539 0.9464

Crystalline Nd2Zn4Ga at its relaxed geometry, computed with PBE.

## Properties
* VASP energy: -40.63 eV for the cell shown
* calculated volume: 290.8 Å³/cell
* crystal system: monoclinic
* energy relative to the elements: -0.3793 eV/atom
* DOS at the Fermi energy: 9.74 states/eV/cell

a b c (Å): 5.9631 5.9321 8.5012
angles (deg): 90.00 104.75 90.00
Positions (direct):
Ga 0.1201 0.7500 0.7779
Nd 0.8703 0.2500 0.5998
Zn 0.6847 0.7500 0.5913
Zn 0.5908 0.5304 0.3014
Ga 0.8799 0.2500 0.2221
Zn 0.4092 0.4696 0.6986
Nd 0.2554 0.2500 0.0175
Zn 0.7193 0.2500 0.9121
Nd 0.1297 0.7500 0.4002
Nd 0.7446 0.7500 0.9825
Zn 0.5908 0.9696 0.3014
Zn 0.2807 0.7500 0.0879
Zn 0.4092 0.0304 0.6986
Zn 0.3153 0.2500 0.4087

Crystalline NdZn4Ga3 at its relaxed geometry, computed with PBE.

## Properties
* VASP energy: -21.22 eV for the cell shown
* calculated volume: 149.6 Å³/cell
* crystal system: tetragonal
* energy relative to the elements: -0.2849 eV/atom
* DOS at the Fermi energy: 2.95 states/eV/cell

a b c (Å): 4.3001 4.3001 8.0906
angles (deg): 90.00 90.00 90.00
Positions (direct):
Ga 0.0000 0.0000 0.0000
Zn 0.0000 0.5000 0.8210
Ga 0.5000 0.5000 0.6503
Zn 0.5000 0.0000 0.1790
Ga 0.5000 0.5000 0.3497
Zn 0.5000 0.0000 0.8210
Zn 0.0000 0.5000 0.1790
Nd 0.0000 0.0000 0.5000

Crystalline Nd8Zn2Ga at its relaxed geometry, computed with PBE.

## Properties
* VASP energy: -45.07 eV for the cell shown
* calculated volume: 322.8 Å³/cell
* distance to the lowest polymorph of the same formula: 50 meV/atom
* crystal system: orthorhombic
* energy relative to the elements: -0.1230 eV/atom
* DOS at the Fermi energy: 12.00 states/eV/cell

a b c (Å): 5.0841 8.5657 8.9299
angles (deg): 118.66 106.54 90.00
Positions (direct):
Nd 0.3390 0.5640 0.6779
Nd 0.8651 0.8651 0.7303
Nd 0.3390 0.1139 0.6780
Zn 0.1938 0.6938 0.3876
Nd 0.1349 0.1349 0.2697
Nd 0.0000 0.3183 0.0000
Ga 0.5000 0.0000 0.0000
Nd 0.6610 0.8861 0.3220
Nd 0.0000 0.6817 0.0000
Nd 0.6610 0.4360 0.3221
Zn 0.8062 0.3062 0.6124

Crystalline Nd5Zn4Ga at its relaxed geometry, computed with PBE.

## Properties
* VASP energy: -35.48 eV for the cell shown
* calculated volume: 251.2 Å³/cell
* crystal system: tetragonal
* energy relative to the elements: -0.3520 eV/atom
* DOS at the Fermi energy: 12.36 states/eV/cell

a b c (Å): 3.6802 3.6802 18.5456
angles (deg): 90.00 90.00 90.00
Positions (direct):
Ga 0.0000 0.0000 0.0000
Nd 0.5000 0.5000 0.1001
Zn 0.0000 0.0000 0.7982
Zn 0.0000 0.0000 0.2018
Zn 0.0000 0.0000 0.4000
Nd 0.5000 0.5000 0.8999
Zn 0.0000 0.0000 0.6000
Nd 0.5000 0.5000 0.5000
Nd 0.5000 0.5000 0.6999
Nd 0.5000 0.5000 0.3001

Crystalline NdZnGa2 at its relaxed geometry, computed with PBE.

## Properties
* VASP energy: -13.95 eV for the cell shown
* calculated volume: 84.4 Å³/cell
* crystal system: trigonal
* energy relative to the elements: -0.4642 eV/atom
* DOS at the Fermi energy: 1.54 states/eV/cell

a b c (Å): 4.2848 4.2848 5.8563
angles (deg): 68.54 68.54 60.00
Positions (direct):
Ga 0.2820 0.2820 0.1540
Nd 0.5000 0.5000 0.5000
Ga 0.7180 0.7180 0.8460
Zn 0.0000 0.0000 0.0000

Crystalline Nd3Zn4Ga at its relaxed geometry, computed with PBE.

## Properties
* VASP energy: -23.81 eV for the cell shown
* calculated volume: 200.8 Å³/cell
* crystal system: orthorhombic
* energy relative to the elements: -0.1727 eV/atom
* DOS at the Fermi energy: 3.89 states/eV/cell

a b c (Å): 4.7667 4.9188 9.2237
angles (deg): 105.46 104.97 90.00
Positions (direct):
Zn 0.3755 0.1343 0.7510
Nd 0.7912 0.7912 0.5824
Zn 0.6245 0.3833 0.2490
Ga 0.5000 0.0000 0.0000
Nd 0.2088 0.2088 0.4176
Nd 0.0000 0.5000 0.0000
Zn 0.3755 0.6167 0.7510
Zn 0.6245 0.8657 0.2490